#1
TaMn2Nb2 | PBE | relaxed

Unit cell a=6.912 b=6.912 c=3.283 alpha=90.00 beta=90.00 gamma=90.00
Sites, in units of the cell vectors:
Nb 0.200 0.700 0.500
Nb 0.700 0.800 0.500
Nb 0.800 0.300 0.500
Nb 0.300 0.200 0.500
Mn 0.394 0.894 0.000
Mn 0.894 0.606 0.000
Mn 0.606 0.106 0.000
Mn 0.106 0.394 0.000
Ta 0.000 0.000 0.000
Ta 0.500 0.500 0.000

Calculated values
Its total magnetization is 0.00 μB per cell. Its space group is P4/mbm.


#2
TaMn2Nb2 | PBE | relaxed

Unit cell a=2.977 b=2.992 c=9.002 alpha=80.43 beta=90.00 gamma=90.00
Sites, in units of the cell vectors:
Ta 0.000 0.000 0.000
Mn 0.500 0.413 0.174
Mn 0.500 0.587 0.826
Nb 0.000 0.176 0.647
Nb 0.000 0.824 0.353

Calculated values
Its total magnetization is 0.00 μB per cell. Its space group is Cmmm.


#2 has the most favorable energy; the next structure is 21 meV/atom above.


#1
TaMnNb | PBE | relaxed

Unit cell a=3.113 b=3.113 c=5.361 alpha=106.88 beta=106.88 gamma=90.00
Sites, in units of the cell vectors:
Nb 0.011 0.011 0.021
Mn 0.668 0.668 0.335
Ta 0.322 0.322 0.643

Calculated values
Its total magnetization is 0.00 μB per cell. Its space group is I4mm.


#2
TaMnNb | PBE | relaxed

Unit cell a=4.215 b=4.215 c=6.657 alpha=71.81 beta=71.79 gamma=90.12
Sites, in units of the cell vectors:
Ta 0.404 0.844 0.109
Ta 0.904 0.344 0.108
Mn 0.279 0.220 0.359
Mn 0.529 0.469 0.858
Nb 0.154 0.595 0.609
Nb 0.654 0.094 0.608

Calculated values
Its total magnetization is 0.00 μB per cell. Its space group is C2/m.


#1 has the most favorable energy; the next structure is 445 meV/atom above.


#1
MnNbTc3 | PBE | relaxed

Unit cell a=4.382 b=4.382 c=4.382 alpha=90.00 beta=90.00 gamma=90.00
Sites, in units of the cell vectors:
Nb 0.500 0.500 0.500
Mn 0.000 0.000 0.000
Tc 0.000 0.500 0.000
Tc 0.000 0.000 0.500
Tc 0.500 0.000 0.000

Calculated values
Its total magnetization is 0.00 μB per cell. Its space group is Pm-3m.


#2
MnNbTc3 | PBE | relaxed

Unit cell a=4.650 b=4.650 c=4.650 alpha=90.00 beta=90.00 gamma=90.00
Site moments in Bohr magnetons follow the coordinates.
Sites, in units of the cell vectors:
Nb 0.000 0.000 0.000  0.02
Mn 0.500 0.500 0.500  0.24
Tc 0.000 0.500 0.000  -0.17
Tc 0.000 0.000 0.500  -0.08
Tc 0.500 0.000 0.000  -0.26

Calculated values
Its total magnetization is 0.30 μB per cell. Its space group is Pm-3m.


#1 has the most favorable energy; the next structure is 1253 meV/atom above.


#1
MnNbTe | PBE | relaxed

Unit cell a=4.238 b=4.238 c=4.238 alpha=60.00 beta=60.00 gamma=60.00
Sites, in units of the cell vectors:
Nb 0.500 0.500 0.500
Te 0.000 0.000 0.000
Mn 0.250 0.250 0.250

Calculated values
Its total magnetization is 0.00 μB per cell. Its space group is F-43m.


#2
MnNbTe | PBE | relaxed

Unit cell a=4.352 b=5.760 c=9.274 alpha=133.39 beta=123.79 gamma=40.87
Sites, in units of the cell vectors:
Mn 0.487 0.270 0.020
Mn 0.513 0.730 0.980
Nb 0.006 0.485 0.235
Nb 0.994 0.515 0.765
Te 0.013 0.059 0.309
Te 0.987 0.941 0.691

Calculated values
Its total magnetization is 0.00 μB per cell. Its space group is P-1.


#1 has the most favorable energy; the next structure is 255 meV/atom above.